Entry 1:
# Na2AgSnTe4

An optimized crystal structure of Na2AgSnTe4 (GGA-PBE, Alexandria via LeMat-Bulk).

```
Na2AgSnTe4
1.0
4.242 0.000 0.000
0.000 7.459 -0.046
0.000 -2.817 7.722
Na Ag Sn Te
2 1 1 4
Cartesian
2.121 -1.409 3.861
0.000 2.321 3.838
2.121 3.729 -0.023
0.000 0.000 0.000
2.121 0.969 1.883
2.121 3.672 5.793
0.000 -0.178 6.199
0.000 4.819 1.477
```

Total DFT energy (no corrections) ... -3.12 eV per atom
Fermi-level density of states ... 3.660 states/eV per cell
Symmetry ... P2/m (10)

Entry 2:
# NaThAgSn

An optimized crystal structure of NaThAgSn (GGA-PBE, Alexandria via LeMat-Bulk).

```
NaThAgSn
1.0
5.288 0.000 0.000
2.644 4.580 0.000
2.644 1.527 4.318
Ag Sn Th Na
1 1 1 1
Cartesian
7.932 4.580 3.238
2.644 1.527 1.079
0.000 0.000 0.000
5.288 3.053 2.159
```

Energy relative to the elements ... -183 meV per atom
Fermi-level density of states ... 1.913 states/eV per cell
Symmetry ... F-43m (216)